A plane-wave DFT calculation with PBE was carried out for a geometry-optimized Zr12PaBi6 structure.

Computed properties:
Energy of formation from the pure elements = -2.716 eV/f.u.
Spin magnetization = 0.0000 μB/atom
SG = R-3 (148)

a b c (Å): 8.639 8.639 8.639
angles (deg): 109.37 109.37 109.37
Atoms (fractional coordinates):
Zr1 0.004 0.307 0.879
Zr2 0.121 0.996 0.693
Zr3 0.138 0.395 0.309
Zr4 0.307 0.879 0.004
Zr5 0.309 0.138 0.395
Zr6 0.395 0.309 0.138
Zr7 0.605 0.691 0.862
Zr8 0.691 0.862 0.605
Zr9 0.693 0.121 0.996
Zr10 0.862 0.605 0.691
Zr11 0.879 0.004 0.307
Zr12 0.996 0.693 0.121
Pa1 0.000 0.000 0.000
Bi1 0.208 0.376 0.675
Bi2 0.325 0.792 0.624
Bi3 0.376 0.675 0.208
Bi4 0.624 0.325 0.792
Bi5 0.675 0.208 0.376
Bi6 0.792 0.624 0.325

---

A plane-wave DFT calculation with PBE was carried out for a geometry-optimized ScAgCl4 structure.

Computed properties:
Spin magnetization = 0.0000 μB/atom
SG = P2/m (10)
Formation energy without anion corrections = -1530 meV per atom
Distance to the lowest polymorph of the same formula = 0.000 eV per atom

a b c (Å): 6.409 3.767 7.217
angles (deg): 90.00 95.48 90.00
Atoms (fractional coordinates):
Sc1 0.000 0.000 0.000
Ag1 0.000 0.500 0.500
Cl1 0.192 0.000 0.717
Cl2 0.235 0.500 0.134
Cl3 0.765 0.500 0.866
Cl4 0.808 0.000 0.283

---

A plane-wave DFT calculation with PBE was carried out for a geometry-optimized PmDy2Rh3 structure.

Computed properties:
Energy of formation from the pure elements = -4.852 eV/f.u.
Spin magnetization = 0.0000 μB/atom
SG = P-3m1 (164)
Distance to the lowest polymorph of the same formula = 0.000 eV per atom

a b c (Å): 4.888 4.888 5.986
angles (deg): 90.00 90.00 120.00
Atoms (fractional coordinates):
Pm1 0.000 0.000 0.000
Dy1 0.333 0.667 0.664
Dy2 0.667 0.333 0.336
Rh1 0.000 0.000 0.500
Rh2 0.333 0.667 0.174
Rh3 0.667 0.333 0.826